(1)
Here is a geometry-optimized FePt3Au structure from Alexandria via LeMat-Bulk. Energies are from PBE-GGA.

Properties
distance to the lowest polymorph of the same formula = 768 meV per atom
space-group type = Pm-3m, No. 221

Cell: 4.928 4.928 4.928 Å, 90.00 90.00 90.00°
Sites, in units of the cell vectors:
Pt (0.000, 0.000, 0.500)
Pt (0.500, 0.000, 0.000)
Pt (0.000, 0.500, 0.000)
Fe (0.500, 0.500, 0.500)
Au (0.000, 0.000, 0.000)

=====

(2)
Here is a geometry-optimized Mg4MnSi structure from Alexandria via LeMat-Bulk. Energies are from PBE-GGA.

Properties
energy relative to the elements, uncorrected = 471.4 meV per atom
space-group type = F-43m, No. 216

Cell: 5.613 5.613 5.613 Å, 60.00 60.00 60.00°
Sites, in units of the cell vectors:
Mg (0.874, 0.375, 0.375)
Mg (0.375, 0.375, 0.375)
Mg (0.375, 0.874, 0.375)
Mg (0.375, 0.375, 0.874)
Mn (0.750, 0.750, 0.750)
Si (0.000, 0.000, 0.000)

=====

(3)
Here is a geometry-optimized BaMnV2S structure from Alexandria via LeMat-Bulk. Energies are from PBE-GGA.

Properties
energy relative to the elements, uncorrected = 2427.8 meV per atom
space-group type = P4/mmm, No. 123

Cell: 5.054 5.083 5.054 Å, 90.00 90.00 90.00°
Sites, in units of the cell vectors:
S (0.500, 0.500, 0.500)
Ba (0.000, 0.000, 0.000)
V (0.000, 0.000, 0.500)
V (0.500, 0.000, 0.000)
Mn (0.000, 0.500, 0.000)

=====

(4)
Here is a geometry-optimized CaDy2ErAu4 structure from Alexandria via LeMat-Bulk. Energies are from PBE-GGA.

Properties
raw total energy = -4.46 eV/atom
space-group type = R-3m, No. 166

Cell: 5.070 5.070 8.850 Å, 73.35 73.35 60.00°
Sites, in units of the cell vectors:
Au (0.620, 0.620, 0.139)
Au (0.380, 0.380, 0.861)
Au (0.870, 0.870, 0.391)
Au (0.130, 0.130, 0.609)
Dy (0.252, 0.252, 0.245)
Dy (0.748, 0.748, 0.755)
Er (0.500, 0.500, 0.500)
Ca (0.000, 0.000, 0.000)

=====

(5)
Here is a geometry-optimized LiSi2Rh2 structure from Alexandria via LeMat-Bulk. Energies are from PBE-GGA.

Properties
distance to the lowest polymorph of the same formula = 25 meV per atom
energy relative to the elements, uncorrected = -733.2 meV per atom
space-group type = P4/mbm, No. 127

Cell: 7.062 7.062 2.762 Å, 90.00 90.00 90.00°
Sites, in units of the cell vectors:
Rh (0.146, 0.354, 0.000)
Rh (0.646, 0.146, 0.000)
Rh (0.354, 0.854, 0.000)
Rh (0.854, 0.646, 0.000)
Si (0.151, 0.651, 0.500)
Si (0.849, 0.349, 0.500)
Si (0.651, 0.849, 0.500)
Si (0.349, 0.151, 0.500)
Li (0.500, 0.500, 0.000)
Li (0.000, 0.000, 0.000)

=====

(6)
Here is a geometry-optimized La2YCo structure from Alexandria via LeMat-Bulk. Energies are from PBE-GGA.

Properties
distance to the lowest polymorph of the same formula = 460 meV per atom
space-group type = Fm-3m, No. 225

Cell: 5.383 5.383 5.383 Å, 60.00 60.00 60.00°
Sites, in units of the cell vectors:
Co (0.000, 0.000, 0.000)
La (0.750, 0.750, 0.750)
La (0.250, 0.250, 0.250)
Y (0.500, 0.500, 0.500)

=====

(7)
Here is a geometry-optimized AcGdAlPd structure from Alexandria via LeMat-Bulk. Energies are from PBE-GGA.

Properties
raw total energy = -7.22 eV/atom
space-group type = F-43m, No. 216

Cell: 5.316 5.316 5.316 Å, 60.00 60.00 60.00°
Sites, in units of the cell vectors:
Ac (0.750, 0.750, 0.750)
Pd (0.000, 0.000, 0.000)
Gd (0.250, 0.250, 0.250)
Al (0.500, 0.500, 0.500)

=====

(8)
Here is a geometry-optimized Pm2NdZrP4 structure from Alexandria via LeMat-Bulk. Energies are from PBE-GGA.

Properties
raw total energy = -7.04 eV/atom
space-group type = P2/m, No. 10

Cell: 4.029 6.989 6.983 Å, 109.22 90.00 90.00°
Sites, in units of the cell vectors:
P (0.500, 0.767, 0.766)
P (0.500, 0.233, 0.234)
P (0.000, 0.239, 0.758)
P (0.000, 0.761, 0.242)
Nd (0.500, 0.500, 0.000)
Pm (0.000, 0.500, 0.500)
Pm (0.500, 0.000, 0.500)
Zr (0.000, 0.000, 0.000)

=====

(9)
Here is a geometry-optimized Y4As3 structure from Alexandria via LeMat-Bulk. Energies are from PBE-GGA.

Properties
distance to the lowest polymorph of the same formula = 176 meV per atom
space-group type = I4/mmm, No. 139

Cell: 11.898 11.898 11.898 Å, 160.76 160.76 27.34°
Sites, in units of the cell vectors:
Y (0.433, 0.433, 0.000)
Y (0.809, 0.809, 0.000)
Y (0.567, 0.567, 0.000)
Y (0.191, 0.191, 0.000)
As (0.000, 0.000, 0.000)
As (0.685, 0.685, 0.000)
As (0.315, 0.315, 0.000)

=====

(10)
Here is a geometry-optimized AcLaNdDy2 structure from Alexandria via LeMat-Bulk. Energies are from PBE-GGA.

Properties
raw total energy = -4.25 eV/atom
space-group type = Cmcm, No. 63

Cell: 6.517 6.645 9.440 Å, 110.61 90.00 90.00°
Sites, in units of the cell vectors:
Dy (0.500, 0.243, 0.000)
Dy (0.500, 0.757, 0.000)
Dy (0.000, 0.757, 0.000)
Dy (0.000, 0.243, 0.000)
La (0.750, 0.154, 0.307)
La (0.250, 0.846, 0.693)
Nd (0.750, 0.783, 0.566)
Nd (0.250, 0.217, 0.434)
Ac (0.250, 0.655, 0.311)
Ac (0.750, 0.345, 0.689)

=====

(11)
Here is a geometry-optimized NbGeTe structure from Alexandria via LeMat-Bulk. Energies are from PBE-GGA.

Properties
energy relative to the elements, uncorrected = 75.4 meV per atom
space-group type = Pm, No. 6

Cell: 3.968 2.956 6.887 Å, 90.00 94.22 90.00°
Sites, in units of the cell vectors:
Ge (0.653, 0.500, 0.359)
Nb (0.134, 0.000, 0.209)
Te (0.102, 0.500, 0.857)

=====

(12)
Here is a geometry-optimized SrTaV2Ni structure from Alexandria via LeMat-Bulk. Energies are from PBE-GGA.

Properties
raw total energy = -5.22 eV/atom
space-group type = P4/mmm, No. 123

Cell: 4.617 4.481 4.617 Å, 90.00 90.00 90.00°
Sites, in units of the cell vectors:
Ta (0.500, 0.500, 0.500)
Ni (0.000, 0.500, 0.000)
V (0.000, 0.000, 0.500)
V (0.500, 0.000, 0.000)
Sr (0.000, 0.000, 0.000)